Record 1
12
Lattice="3.502 -6.064 0.000 3.502 6.064 0.000 -2.334 0.000 6.545" Properties=species:S:1:pos:R:3 comment="GGA-PBE Ce2DySc3As6, optimized geometry" vol_a3_per_atom=23.2 formation_enthalpy_0k_ev_per_fu=-16.9 pbc="T T T"
Ce 3.502 4.045 0.000
Ce 3.502 -4.045 0.000
Dy 3.502 0.000 0.000
Sc -1.167 0.000 3.272
Sc 2.335 2.026 3.272
Sc 2.335 -2.026 3.272
As 0.006 2.012 4.797
As 1.180 0.000 1.758
As 0.006 -2.012 4.797
As 4.663 2.012 1.748
As 3.490 0.000 4.787
As 4.663 -2.012 1.748


Record 2
7
Lattice="-2.664 2.664 7.292 2.664 -2.664 7.292 2.664 2.664 -7.292" Properties=species:S:1:pos:R:3 comment="GGA-PBE Ce2DyAs2Se2, optimized geometry" vol_a3_per_atom=29.6 raw_formation_energy_ev_per_atom=-1.1703 pbc="T T T"
Ce 0.000 0.000 1.730
Ce 0.000 0.000 12.854
Dy 0.000 0.000 7.292
As 2.664 0.000 0.000
As 0.000 2.664 0.000
Se 0.000 0.000 4.477
Se 0.000 0.000 10.107


Record 3
8
Lattice="7.207 0.000 0.000 0.000 4.168 0.000 -2.400 0.000 6.806" Properties=species:S:1:pos:R:3 comment="GGA-PBE CeSmDy2As4, optimized geometry" vol_a3_per_atom=25.6 formation_enthalpy_0k_ev_per_fu=-12.1 pbc="T T T"
Ce 0.000 0.000 0.000
Sm -1.200 2.084 3.403
Dy 2.403 0.000 3.403
Dy 3.603 2.084 0.000
As 0.027 0.000 5.128
As 1.233 2.084 1.705
As 4.780 0.000 1.679
As 3.573 2.084 5.101


Record 4
12
Lattice="3.619 -6.269 0.000 3.619 6.269 0.000 -2.412 0.000 6.835" Properties=species:S:1:pos:R:3 comment="GGA-PBE CeSm3Dy2As6, optimized geometry" vol_a3_per_atom=25.8 formation_enthalpy_0k_ev_per_fu=-18.2 pbc="T T T"
Ce 0.000 0.000 0.000
Sm 2.413 4.182 3.417
Sm 2.413 0.000 3.417
Sm 2.413 -4.182 3.417
Dy 3.619 2.089 0.000
Dy 3.619 -2.089 0.000
As 1.209 2.093 1.675
As 0.004 0.000 5.167
As 1.209 -2.093 1.675
As 3.618 2.093 5.160
As 4.822 0.000 1.668
As 3.618 -2.093 5.160


Record 5
12
Lattice="9.144 -2.100 0.000 9.144 2.100 0.000 -1.930 0.000 8.174" Properties=species:S:1:pos:R:3 comment="GGA-PBE Ce2Sm3DyAs6, optimized geometry" vol_a3_per_atom=26.2 formation_enthalpy_0k_ev_per_fu=-18.0 pbc="T T T"
Ce 2.389 0.000 2.711
Ce 13.969 0.000 5.464
Sm 1.433 0.000 6.821
Sm 8.179 0.000 4.087
Sm 14.926 0.000 1.353
Dy 9.144 0.000 0.000
As -0.466 0.000 2.014
As 16.825 0.000 6.161
As 5.277 0.000 3.416
As 4.357 0.000 7.485
As 12.001 0.000 0.689
As 11.082 0.000 4.758


Record 6
12
Lattice="9.068 -2.085 0.000 9.068 2.085 0.000 -1.903 0.000 8.112" Properties=species:S:1:pos:R:3 comment="GGA-PBE CeSm2Dy3As6, optimized geometry" vol_a3_per_atom=25.6 formation_enthalpy_0k_ev_per_fu=-18.2 pbc="T T T"
Ce 0.000 0.000 0.000
Sm 4.766 0.000 5.393
Sm 11.467 0.000 2.719
Dy -0.952 0.000 4.056
Dy 5.712 0.000 1.358
Dy 10.521 0.000 6.754
As 1.879 0.000 4.761
As 2.875 0.000 0.643
As 8.565 0.000 2.038
As 7.668 0.000 6.074
As 13.358 0.000 7.468
As 14.354 0.000 3.351